# 1
Here is Th2Fe15Cu2 after structural relaxation from the Alexandria database. Energies are from PBE.

Its total magnetization is 30.5 μB/f.u. Its density is 9.2 g cm⁻³. For the calculated formation energy, the calculation gives 1 kJ/mol of atoms. The density of states at the Fermi level comes out at 1.3840 states/eV/atom.

It has space group R-3m (No. 166, hexagonal axes), with a = 8.4627 Å, b = 8.4627 Å, c = 12.5200 Å, α = 90.00°, β = 90.00° and γ = 120.00°. The asymmetric unit holds Th at (0.0000, 0.0000, 0.1582), Fe at (0.0000, 0.2929, 0.5000), Fe at (0.0000, 0.5000, 0.0000), Fe at (0.0001, 0.5000, 0.3409) and Cu at (0.0000, 0.0000, 0.4032).


# 2
Here is CaSmAl after structural relaxation from the Alexandria database. Energies are from PBE.

Its total magnetization is 0.0 μB/f.u. Its density is 4.3 g cm⁻³. For the calculated formation energy, the calculation gives -25 kJ/mol of atoms. The density of states at the Fermi level comes out at 0.3246 states/eV/atom. Its polymorph energy (0 for the lowest one) is 0.0 kJ per mole of atoms.

It has space group P6_3/mmc (No. 194), with a = 5.3686 Å, b = 5.3686 Å, c = 6.7795 Å, α = 90.00°, β = 90.00° and γ = 120.00°. The asymmetric unit holds Ca at (0.0000, 0.0000, 0.0000), Sm at (0.3333, 0.6667, 0.2500) and Al at (0.3333, 0.6667, 0.7500).


# 3
Here is Sm7Er2Tm after structural relaxation from the Alexandria database. Energies are from PBE.

Its total magnetization is 0.0 μB/f.u. Its density is 7.8 g cm⁻³. For the calculated formation energy, the calculation gives 5 kJ/mol of atoms. The density of states at the Fermi level comes out at 1.7002 states/eV/atom. Its polymorph energy (0 for the lowest one) is 0.0 kJ per mole of atoms.

It has space group C2/m (No. 12), with a = 18.318 Å, b = 5.505 Å, c = 7.064 Å, α = 90.00°, β = 112.44° and γ = 90.00°. The asymmetric unit holds Sm at (0.000, 0.000, 0.000), Sm at (0.108, 0.500, 0.360), Sm at (0.109, 0.500, 0.858), Sm at (0.198, 0.000, 0.698), Er at (0.200, 0.000, 0.200) and Tm at (0.000, 0.000, 0.500).


# 4
Here is LaZn2Ga4Cu after structural relaxation from the Alexandria database. Energies are from PBE.

Its total magnetization is 0.0 μB/f.u. Its density is 6.8 g cm⁻³. For the calculated formation energy, the calculation gives -23 kJ/mol of atoms. The density of states at the Fermi level comes out at 0.3797 states/eV/atom.

It has space group R-3m (No. 166, hexagonal axes), with a = 4.4365 Å, b = 4.4365 Å, c = 26.4304 Å, α = 90.00°, β = 90.00° and γ = 120.00°. The asymmetric unit holds La at (0.0000, 0.0000, 0.0000), Zn at (0.0000, 0.0000, 0.2499), Ga at (0.0000, 0.0000, 0.1354), Ga at (0.0000, 0.0000, 0.4028) and Cu at (0.0000, 0.0000, 0.5000).


# 5
Here is Mg9Si5 after structural relaxation from the Alexandria database. Energies are from PBE.

For the formation energy (no corrections), the calculation gives -0.1074 eV per atom. Its total magnetization is 0.0 μB/f.u. Its density is 2.2 g cm⁻³. The density of states at the Fermi level comes out at 0.0379 states/eV/atom. Its polymorph energy (0 for the lowest one) is 0.6 kJ per mole of atoms.

It has space group R32 (No. 155, hexagonal axes), with a = 7.1862 Å, b = 7.1862 Å, c = 36.8714 Å, α = 90.00°, β = 90.00° and γ = 120.00°. The asymmetric unit holds Mg at (0.0000, 0.2530, 0.0000), Mg at (0.0000, 0.7429, 0.5000), Mg at (0.0160, 0.7463, 0.3891), Mg at (0.0171, 0.4087, 0.5542), Si at (0.0000, 0.0000, 0.0577), Si at (0.0000, 0.0000, 0.1692), Si at (0.0000, 0.0000, 0.2659), Si at (0.0000, 0.0000, 0.3333) and Si at (0.0000, 0.0000, 0.4444).


# 6
Here is MgTe2Cl after structural relaxation from the Alexandria database. Energies are from PBE.

For the formation energy (no corrections), the calculation gives -0.4876 eV per atom. Its total magnetization is 0.0 μB/f.u. Its density is 4.1 g cm⁻³. The density of states at the Fermi level comes out at 0.3922 states/eV/atom. Its polymorph energy (0 for the lowest one) is 23.7 kJ per mole of atoms.

It has space group Imm2 (No. 44), with a = 3.666 Å, b = 7.380 Å, c = 9.463 Å, α = 90.00°, β = 90.00° and γ = 90.00°. The asymmetric unit holds Mg at (0.000, 0.000, 0.000), Te at (0.000, 0.000, 0.517), Te at (0.000, 0.500, 0.255) and Cl at (0.000, 0.500, 0.659).


# 7
Here is Y2ReRu after structural relaxation from the Alexandria database. Energies are from PBE.

Its total magnetization is 0.0 μB/f.u. Its density is 9.7 g cm⁻³. For the calculated formation energy, the calculation gives 33 kJ/mol of atoms. The density of states at the Fermi level comes out at 0.8494 states/eV/atom. Its polymorph energy (0 for the lowest one) is 36.6 kJ per mole of atoms.

It has space group Pmmm (No. 47), with a = 3.452 Å, b = 4.485 Å, c = 5.147 Å, α = 90.00°, β = 90.00° and γ = 90.00°. The asymmetric unit holds Y at (0.000, 0.000, 0.000), Y at (0.500, 0.000, 0.500), Re at (0.000, 0.500, 0.500) and Ru at (0.500, 0.500, 0.000).


# 8
Here is AcEuTlSn after structural relaxation from the Alexandria database. Energies are from PBE.

Its total magnetization is 7.2 μB/f.u. Its density is 8.8 g cm⁻³. For the calculated formation energy, the calculation gives -50 kJ/mol of atoms. The density of states at the Fermi level comes out at 2.0430 states/eV/atom.

It has space group F-43m (No. 216), with a = 8.084 Å, b = 8.084 Å, c = 8.084 Å, α = 90.00°, β = 90.00° and γ = 90.00°. The asymmetric unit holds Ac at (0.000, 0.000, 0.000), Eu at (0.000, 0.000, 0.500), Tl at (0.250, 0.250, 0.750) and Sn at (0.250, 0.250, 0.250).


# 9
Here is Na2CaCl2 after structural relaxation from the Alexandria database. Energies are from PBE.

For the formation energy (no corrections), the calculation gives -1.2596 eV per atom. Its total magnetization is 0.0 μB/f.u. Its density is 1.6 g cm⁻³. The density of states at the Fermi level comes out at 0.0142 states/eV/atom.

It has space group P4/mbm (No. 127), with a = 7.522 Å, b = 7.522 Å, c = 5.775 Å, α = 90.00°, β = 90.00° and γ = 90.00°. The asymmetric unit holds Na at (0.213, 0.287, 0.000), Ca at (0.000, 0.000, 0.500) and Cl at (0.187, 0.313, 0.500).